(1)
The following is a PBE calculation of a geometry-optimized Ti2AuI structure, from Alexandria.

```
data_Ti2AuI
_chemical_formula_sum 'Ti8 Au4 I4'
_symmetry_space_group_name_H-M 'I -4 2 d'
_symmetry_Int_Tables_number 122
_symmetry_space_group_name_Hall 'I -4 2bw'
_cell_length_a 5.902
_cell_length_b 5.902
_cell_length_c 12.851
_cell_angle_alpha 90.00
_cell_angle_beta 90.00
_cell_angle_gamma 90.00
loop_
_atom_site_label
_atom_site_fract_x
_atom_site_fract_y
_atom_site_fract_z
_atom_site_occupancy
Ti1 0.206 0.250 0.125 1
Au1 0.000 0.000 0.000 1
I1 0.000 0.000 0.500 1
```

* E_tot: -76.0 eV per cell
* E above lowest polymorph: 323.4 meV/atom
* formation energy without anion corrections: 157.1 kJ/mol of formula units

---

(2)
The following is a PBE calculation of a geometry-optimized AlCo2Pb structure, from Alexandria.

```
data_AlCo2Pb
_chemical_formula_sum 'Al4 Co8 Pb4'
_symmetry_space_group_name_H-M 'I -4 2 d'
_symmetry_Int_Tables_number 122
_symmetry_space_group_name_Hall 'I -4 2bw'
_cell_length_a 4.171
_cell_length_b 4.171
_cell_length_c 17.054
_cell_angle_alpha 90.00
_cell_angle_beta 90.00
_cell_angle_gamma 90.00
loop_
_atom_site_label
_atom_site_fract_x
_atom_site_fract_y
_atom_site_fract_z
_atom_site_occupancy
Al1 0.000 0.000 0.000 1
Co1 0.124 0.250 0.125 1
Pb1 0.000 0.000 0.500 1
```

* E_tot: -78.9 eV per cell
* E above lowest polymorph: 519.1 meV/atom

---

(3)
The following is a PBE calculation of a geometry-optimized ZnTe2Au structure, from Alexandria.

```
data_ZnTe2Au
_chemical_formula_sum 'Zn1 Te2 Au1'
_symmetry_space_group_name_H-M 'P m m m'
_symmetry_Int_Tables_number 47
_symmetry_space_group_name_Hall '-P 2 2'
_cell_length_a 3.934
_cell_length_b 3.947
_cell_length_c 7.058
_cell_angle_alpha 90.00
_cell_angle_beta 90.00
_cell_angle_gamma 90.00
loop_
_atom_site_label
_atom_site_fract_x
_atom_site_fract_y
_atom_site_fract_z
_atom_site_occupancy
Zn1 0.000 0.000 0.000 1
Te1 0.500 0.000 0.500 1
Te2 0.500 0.500 0.000 1
Au1 0.000 0.500 0.500 1
```

* E_tot: -10.4 eV per cell
* formation energy without anion corrections: 43.6 kJ/mol of formula units

---

(4)
The following is a PBE calculation of a geometry-optimized NbOsO3 structure, from Alexandria.

```
data_NbOsO3
_chemical_formula_sum 'Nb1 Os1 O3'
_symmetry_space_group_name_H-M 'P m -3 m'
_symmetry_Int_Tables_number 221
_symmetry_space_group_name_Hall '-P 4 2 3'
_cell_length_a 3.900
_cell_length_b 3.900
_cell_length_c 3.900
_cell_angle_alpha 90.00
_cell_angle_beta 90.00
_cell_angle_gamma 90.00
loop_
_atom_site_label
_atom_site_fract_x
_atom_site_fract_y
_atom_site_fract_z
_atom_site_occupancy
Nb1 0.000 0.000 0.000 1
Os1 0.500 0.500 0.500 1
O1 0.000 0.500 0.500 1
```

* E_tot: -37.3 eV per cell
* formation energy without anion corrections: -111.7 kJ/mol of formula units

---

(5)
The following is a PBE calculation of a geometry-optimized PmPrN structure, from Alexandria.

```
data_PmPrN
_chemical_formula_sum 'Pm2 Pr2 N2'
_symmetry_space_group_name_H-M 'I 4 m m'
_symmetry_Int_Tables_number 107
_symmetry_space_group_name_Hall 'I 4 -2'
_cell_length_a 4.839
_cell_length_b 4.839
_cell_length_c 7.954
_cell_angle_alpha 90.00
_cell_angle_beta 90.00
_cell_angle_gamma 90.00
loop_
_atom_site_label
_atom_site_fract_x
_atom_site_fract_y
_atom_site_fract_z
_atom_site_occupancy
Pm1 0.000 0.000 0.000 1
Pr1 0.000 0.000 0.467 1
N1 0.000 0.000 0.736 1
```

* E_tot: -34.5 eV per cell
* E above lowest polymorph: 1088.5 meV/atom
* formation energy without anion corrections: 60.1 kJ/mol of formula units

---

(6)
The following is a PBE calculation of a geometry-optimized BaCa2Tb structure, from Alexandria.

```
data_BaCa2Tb
_chemical_formula_sum 'Ba3 Ca6 Tb3'
_symmetry_space_group_name_H-M 'R 3 m'
_symmetry_Int_Tables_number 160
_symmetry_space_group_name_Hall 'R 3 -2"'
_cell_length_a 3.8833
_cell_length_b 3.8833
_cell_length_c 38.7800
_cell_angle_alpha 90.00
_cell_angle_beta 90.00
_cell_angle_gamma 120.00
loop_
_atom_site_label
_atom_site_fract_x
_atom_site_fract_y
_atom_site_fract_z
_atom_site_occupancy
Ba1 0.0000 0.0000 0.0000 1
Ca1 0.0000 0.0000 0.5775 1
Ca2 0.0000 0.0000 0.7564 1
Tb1 0.0000 0.0000 0.1671 1
```

* E_tot: -30.0 eV per cell
* E above lowest polymorph: 29.3 meV/atom

---

(7)
The following is a PBE calculation of a geometry-optimized TlReSi2 structure, from Alexandria.

```
data_TlReSi2
_chemical_formula_sum 'Tl1 Re1 Si2'
_symmetry_space_group_name_H-M 'P m m m'
_symmetry_Int_Tables_number 47
_symmetry_space_group_name_Hall '-P 2 2'
_cell_length_a 3.258
_cell_length_b 4.451
_cell_length_c 4.717
_cell_angle_alpha 90.00
_cell_angle_beta 90.00
_cell_angle_gamma 90.00
loop_
_atom_site_label
_atom_site_fract_x
_atom_site_fract_y
_atom_site_fract_z
_atom_site_occupancy
Tl1 0.000 0.000 0.000 1
Re1 0.500 0.000 0.500 1
Si1 0.000 0.500 0.500 1
Si2 0.500 0.500 0.000 1
```

* E_tot: -21.7 eV per cell
* E above lowest polymorph: 813.8 meV/atom
* formation energy without anion corrections: 379.5 kJ/mol of formula units

---

(8)
The following is a PBE calculation of a geometry-optimized Ga4AgHg structure, from Alexandria.

```
data_Ga4AgHg
_chemical_formula_sum 'Ga8 Ag2 Hg2'
_symmetry_space_group_name_H-M 'C 1 2/m 1'
_symmetry_Int_Tables_number 12
_symmetry_space_group_name_Hall '-C 2y'
_cell_length_a 13.636
_cell_length_b 3.221
_cell_length_c 5.934
_cell_angle_alpha 90.00
_cell_angle_beta 114.64
_cell_angle_gamma 90.00
loop_
_atom_site_label
_atom_site_fract_x
_atom_site_fract_y
_atom_site_fract_z
_atom_site_occupancy
Ga1 0.165 0.000 0.358 1
Ga2 0.173 0.500 0.809 1
Ag1 0.000 0.000 0.500 1
Hg1 0.000 0.500 0.000 1
```

* E_tot: -29.9 eV per cell
* E above lowest polymorph: 0.0 meV/atom

---

(9)
The following is a PBE calculation of a geometry-optimized NdAg2Bi structure, from Alexandria.

```
data_NdAg2Bi
_chemical_formula_sum 'Nd1 Ag2 Bi1'
_symmetry_space_group_name_H-M 'P 4/m m m'
_symmetry_Int_Tables_number 123
_symmetry_space_group_name_Hall '-P 4 2'
_cell_length_a 4.535
_cell_length_b 4.535
_cell_length_c 4.875
_cell_angle_alpha 90.00
_cell_angle_beta 90.00
_cell_angle_gamma 90.00
loop_
_atom_site_label
_atom_site_fract_x
_atom_site_fract_y
_atom_site_fract_z
_atom_site_occupancy
Nd1 0.000 0.000 0.000 1
Ag1 0.000 0.500 0.500 1
Bi1 0.500 0.500 0.000 1
```

* E_tot: -15.6 eV per cell

---

(10)
The following is a PBE calculation of a geometry-optimized B structure, from Alexandria.

```
data_B
_chemical_formula_sum 'B2'
_symmetry_space_group_name_H-M 'P -1'
_symmetry_Int_Tables_number 2
_symmetry_space_group_name_Hall '-P 1'
_cell_length_a 2.232
_cell_length_b 2.326
_cell_length_c 3.094
_cell_angle_alpha 111.19
_cell_angle_beta 104.38
_cell_angle_gamma 99.67
loop_
_atom_site_label
_atom_site_fract_x
_atom_site_fract_y
_atom_site_fract_z
_atom_site_occupancy
B1 0.114 0.192 0.308 1
```

* E_tot: -12.3 eV per cell
* E above lowest polymorph: 551.8 meV/atom

---

(11)
The following is a PBE calculation of a geometry-optimized AlMo6W12 structure, from Alexandria.

```
data_AlMo6W12
_chemical_formula_sum 'Al3 Mo18 W36'
_symmetry_space_group_name_H-M 'R -3 m'
_symmetry_Int_Tables_number 166
_symmetry_space_group_name_Hall '-R 3 2"'
_cell_length_a 10.3831
_cell_length_b 10.3831
_cell_length_c 11.6288
_cell_angle_alpha 90.00
_cell_angle_beta 90.00
_cell_angle_gamma 120.00
loop_
_atom_site_label
_atom_site_fract_x
_atom_site_fract_y
_atom_site_fract_z
_atom_site_occupancy
Al1 0.0000 0.0000 0.0000 1
Mo1 0.0193 0.5096 0.6844 1
W1 0.0000 0.3636 0.5000 1
W2 0.0999 0.1998 0.3926 1
```

* E_tot: -614.0 eV per cell

---

(12)
The following is a PBE calculation of a geometry-optimized HfMgAg2Hg structure, from Alexandria.

```
data_HfMgAg2Hg
_chemical_formula_sum 'Hf1 Mg1 Ag2 Hg1'
_symmetry_space_group_name_H-M 'P 4/m m m'
_symmetry_Int_Tables_number 123
_symmetry_space_group_name_Hall '-P 4 2'
_cell_length_a 4.774
_cell_length_b 4.774
_cell_length_c 5.377
_cell_angle_alpha 90.00
_cell_angle_beta 90.00
_cell_angle_gamma 90.00
loop_
_atom_site_label
_atom_site_fract_x
_atom_site_fract_y
_atom_site_fract_z
_atom_site_occupancy
Hf1 0.000 0.000 0.000 1
Mg1 0.000 0.000 0.500 1
Ag1 0.000 0.500 0.500 1
Hg1 0.500 0.500 0.000 1
```

* E_tot: -13.2 eV per cell

---

Q: Which formula does entry 4 have?
A: NbOsO3